Entry from the Alexandria database: an optimized crystal structure of SrCdPt2 (PBEsol).

Cell lengths 2.9710, 4.4656, 5.8784 Å; angles 90.00, 90.00, 90.00 degrees
Space group Pmm2 (No. 25)
Asymmetric unit:
Sr (0.0000, 0.0000, 0.0000) x1
Cd (0.5000, 0.5000, 0.3233) x1
Pt (0.0000, 0.0000, 0.5026) x1
Pt (0.5000, 0.5000, 0.7814) x1

## Properties
Total moment in μB per formula unit: 0.0
Density in g/cm3: 12.6
Calculated formation energy in eV/atom: -0.23